This record from Alexandria describes NbInMo2F after structural relaxation. The functional is PBE+U.

Structure (POSCAR):
```
NbInMo2F
1.0
4.344 0.000 0.000
0.000 4.376 0.000
0.000 0.000 4.344
Mo F Nb In
2 1 1 1
Direct
0.000 0.000 0.500 Mo
0.500 0.000 0.000 Mo
0.000 0.000 0.000 F
0.000 0.500 0.000 Nb
0.500 0.500 0.500 In
```

Computed properties:
VASP energy in eV per cell: -25.554